12
Lattice="6.897 0.000 0.000 3.449 5.973 0.000 3.449 1.991 5.663" Properties=species:S:1:pos:R:3 comment="NdRe2HgO8 | Alexandria | PBE | relaxed" total_magnetization_mub_per_cell=0.0 spacegroup="No. 166" dft_energy_ev_per_atom=-7.66 dos_ef_per_ev_cell=2.4 e_form_raw_mev_per_atom=-1859 pbc="T T T"
Re 10.346 5.973 4.253
Re 3.449 1.991 1.410
Nd 6.897 3.982 2.831
O 6.897 3.982 5.304
O 6.897 3.982 0.359
O 6.896 6.297 2.002
O 8.903 2.825 2.002
O 4.893 2.824 2.002
O 8.903 5.139 3.661
O 6.896 1.667 3.661
O 4.893 5.140 3.661
Hg 0.000 0.000 0.000

=====

12
Lattice="4.799 -0.185 0.148 -0.171 4.805 0.151 0.244 0.242 7.782" Properties=species:S:1:pos:R:3 comment="Nd2ReHgO8 | Alexandria | PBE | relaxed" total_magnetization_mub_per_cell=0.9 spacegroup="No. 12" dft_energy_ev_per_atom=-7.15 dos_ef_per_ev_cell=5.5 e_form_raw_mev_per_atom=-1989 pbc="T T T"
O 1.536 1.535 3.865
O 1.294 1.288 0.472
O 3.578 3.574 7.608
O 3.600 0.455 1.481
O 1.272 4.407 6.599
O 3.336 3.326 4.216
O 4.405 1.262 6.601
O 0.467 3.599 1.479
Nd 2.621 2.611 2.070
Nd 2.252 2.250 6.011
Re 0.000 0.000 0.000
Hg 0.122 0.121 3.891

=====

12
Lattice="4.795 -0.183 0.155 -0.171 4.779 0.153 0.249 0.250 7.658" Properties=species:S:1:pos:R:3 comment="Nd2HgRuO8 | Alexandria | PBE | relaxed" total_magnetization_mub_per_cell=0.0 spacegroup="No. 2" dft_energy_ev_per_atom=-6.55 dos_ef_per_ev_cell=2.0 e_form_raw_mev_per_atom=-1652 pbc="T T T"
Ru 0.000 0.000 0.000
O 1.542 1.530 3.775
O 3.594 0.466 1.490
O 3.601 3.571 7.490
O 1.272 1.275 0.476
O 1.279 4.380 6.476
O 4.402 1.260 6.468
O 3.331 3.316 4.191
O 0.472 3.586 1.498
Nd 2.231 2.211 5.896
Nd 2.642 2.635 2.070
Hg 0.124 0.125 3.829

=====

9
Lattice="-5.450 2.063 -0.978 -2.269 0.036 -5.337 -1.118 -5.097 -0.242" Properties=species:S:1:pos:R:3 comment="NdHgRuO6 | Alexandria | PBE | relaxed" total_magnetization_mub_per_cell=1.0 spacegroup="No. 1" dft_energy_ev_per_atom=-6.14 dos_ef_per_ev_cell=1.2 e_form_raw_mev_per_atom=-1239 pbc="T T T"
Nd -5.601 -1.028 -4.275
O -2.672 -3.192 -3.323
O -5.359 -2.850 -5.874
O -1.241 -1.446 -2.028
O -5.086 -2.398 -2.537
O -3.688 -0.445 -1.306
O -3.415 -0.696 -3.895
Ru -3.035 -1.929 -2.103
Hg -7.515 2.029 -6.226

=====

9
Lattice="5.196 -0.004 -0.011 2.594 4.517 -0.043 -0.020 -0.061 4.316" Properties=species:S:1:pos:R:3 comment="NdHgSO6 | Alexandria | PBE | relaxed" total_magnetization_mub_per_cell=1.0 spacegroup="No. 1" dft_energy_ev_per_atom=-5.52 dos_ef_per_ev_cell=4.7 e_form_raw_mev_per_atom=-1191 pbc="T T T"
Hg 5.182 -0.041 3.368
S 2.585 1.469 2.435
O 1.508 2.406 3.352
O 1.304 0.984 1.482
O 2.794 2.821 1.487
O 2.319 0.062 3.334
O 3.945 1.935 3.343
O 3.644 0.618 1.472
Nd 5.185 2.977 1.132

=====

12
Lattice="-3.746 1.785 -3.769 -5.273 -1.662 0.930 -0.608 6.718 4.731" Properties=species:S:1:pos:R:3 comment="NdHgSe2O8 | Alexandria | PBE | relaxed" total_magnetization_mub_per_cell=0.4 spacegroup="No. 12" dft_energy_ev_per_atom=-5.46 dos_ef_per_ev_cell=4.0 e_form_raw_mev_per_atom=-1152 pbc="T T T"
O -5.487 0.663 0.454
O -4.831 4.616 3.567
O -4.139 6.178 1.438
O -7.037 0.705 -1.768
O -2.590 6.136 3.661
O -6.936 2.931 -0.103
O -4.796 2.225 -1.675
O -2.691 3.910 1.995
Se -3.531 5.182 2.655
Se -6.096 1.659 -0.762
Nd 0.000 0.000 0.000
Hg -0.304 3.359 2.366

=====

10
Lattice="-2.701 4.055 1.196 -3.932 -1.663 -3.243 -2.225 -2.684 4.073" Properties=species:S:1:pos:R:3 comment="Nd2SiHgO6 | Alexandria | PBE | relaxed" total_magnetization_mub_per_cell=0.0 spacegroup="No. 99" dft_energy_ev_per_atom=-6.91 dos_ef_per_ev_cell=0.0 e_form_raw_mev_per_atom=-2414 pbc="T T T"
O -4.574 0.504 3.333
O -5.529 1.074 -0.755
O -3.348 -1.768 0.535
O -0.756 1.135 0.335
O -3.331 2.004 1.057
O -6.772 -0.426 1.521
Hg -4.491 -0.053 1.041
Nd -1.977 -0.815 -1.617
Nd -1.123 -1.326 2.041
Si -1.658 2.489 0.734

=====

5
Lattice="-1.570 -1.585 -4.429 4.125 -2.575 -0.541 -2.127 -3.855 2.134" Properties=species:S:1:pos:R:3 comment="NdSm2HgO | Alexandria | PBE | relaxed" total_magnetization_mub_per_cell=0.0 spacegroup="No. 123" dft_energy_ev_per_atom=-5.24 dos_ef_per_ev_cell=2.0 e_form_raw_mev_per_atom=-1352 pbc="T T T"
Nd -0.785 -0.792 -2.214
Hg 0.214 -4.008 -1.418
O 0.000 0.000 0.000
Sm -1.064 -1.928 1.067
Sm 2.062 -1.288 -0.270

=====

14
Lattice="-2.417 6.210 -1.133 -2.928 -0.027 6.100 8.256 0.258 3.964" Properties=species:S:1:pos:R:3 comment="Nd4SnHgO | Alexandria | PBE | relaxed" total_magnetization_mub_per_cell=0.0 spacegroup="No. 63" dft_energy_ev_per_atom=-5.20 dos_ef_per_ev_cell=6.3 e_form_raw_mev_per_atom=-1156 pbc="T T T"
O 1.873 4.918 2.797
O 1.037 1.523 6.133
Nd 1.455 3.221 4.465
Nd -1.064 0.520 5.120
Nd -1.017 3.539 1.404
Nd 4.128 0.129 1.982
Nd 2.664 0.116 5.032
Nd 3.928 2.902 7.527
Nd 2.919 3.234 1.415
Nd 3.975 5.921 3.810
Hg -1.780 3.860 4.791
Hg 4.691 2.581 4.139
Sn 2.089 5.707 6.657
Sn 0.821 0.735 2.274

=====

11
Lattice="4.901 0.000 0.000 0.000 4.901 0.000 -2.451 -2.451 11.956" Properties=species:S:1:pos:R:3 comment="Tb2Nd4Hg3O2 | Alexandria | PBE | relaxed" total_magnetization_mub_per_cell=0.0 spacegroup="No. 139" dft_energy_ev_per_atom=-4.77 dos_ef_per_ev_cell=7.2 e_form_raw_mev_per_atom=-1212 pbc="T T T"
Nd 2.451 0.000 2.071
Nd 2.451 0.000 9.885
Nd 0.000 2.451 2.071
Nd 0.000 2.451 9.885
O 2.451 2.451 2.572
O 0.000 0.000 9.383
Hg 0.000 0.000 0.000
Hg 2.451 2.451 7.805
Hg 0.000 0.000 4.151
Tb 0.000 0.000 7.142
Tb 2.451 2.451 4.814

=====

5
Lattice="-0.230 -2.427 4.119 4.050 -2.575 -1.291 2.871 3.423 2.177" Properties=species:S:1:pos:R:3 comment="TbNd2HgO | Alexandria | PBE | relaxed" total_magnetization_mub_per_cell=0.0 spacegroup="No. 123" dft_energy_ev_per_atom=-5.23 dos_ef_per_ev_cell=2.5 e_form_raw_mev_per_atom=-1347 pbc="T T T"
Nd 1.435 1.712 1.089
Nd 2.025 -1.288 -0.645
Hg 3.345 -0.789 2.503
O 0.000 0.000 0.000
Tb -0.115 -1.213 2.060

=====

5
Lattice="4.946 0.000 0.000 0.000 4.800 0.000 0.000 0.000 4.800" Properties=species:S:1:pos:R:3 comment="Tb2NdHgO | Alexandria | PBE | relaxed" total_magnetization_mub_per_cell=0.0 spacegroup="No. 123" dft_energy_ev_per_atom=-5.22 dos_ef_per_ev_cell=1.8 e_form_raw_mev_per_atom=-1364 pbc="T T T"
O 0.000 0.000 0.000
Tb 0.000 0.000 2.400
Tb 0.000 2.400 0.000
Nd 2.473 0.000 0.000
Hg 2.473 2.400 2.400

=====

11
Lattice="4.799 0.000 0.000 0.000 4.799 0.000 -2.400 -2.400 11.830" Properties=species:S:1:pos:R:3 comment="Tb4Nd2Hg3O2 | Alexandria | PBE | relaxed" total_magnetization_mub_per_cell=0.0 spacegroup="No. 139" dft_energy_ev_per_atom=-4.80 dos_ef_per_ev_cell=7.8 e_form_raw_mev_per_atom=-1270 pbc="T T T"
Nd 0.000 0.000 7.070
Nd 2.400 2.400 4.760
Hg 0.000 0.000 4.005
Hg 2.400 2.400 7.825
Hg 0.000 0.000 0.000
O 2.400 2.400 2.319
O 0.000 0.000 9.511
Tb 0.000 2.400 9.857
Tb 0.000 2.400 1.973
Tb 2.400 0.000 1.973
Tb 2.400 0.000 9.857

=====

9
Lattice="5.880 -0.021 -0.538 2.925 5.002 0.503 -0.413 0.677 5.331" Properties=species:S:1:pos:R:3 comment="NdTcHgO6 | Alexandria | PBE | relaxed" total_magnetization_mub_per_cell=0.0 spacegroup="No. 1" dft_energy_ev_per_atom=-6.59 e_form_raw_mev_per_atom=-1565 pbc="T T T"
O 3.425 0.861 1.437
O 1.062 2.174 1.680
O 3.600 3.522 1.672
O 5.066 5.438 4.162
O 2.046 3.170 3.864
O 4.486 2.039 3.646
Hg 8.595 4.902 -0.019
Nd 5.681 3.652 2.569
Tc 2.535 1.878 2.673

=====

10
Lattice="-4.789 2.813 -1.710 -4.324 -2.916 -2.563 -5.099 -0.859 2.991" Properties=species:S:1:pos:R:3 comment="NdTcHg2O6 | Alexandria | PBE | relaxed" total_magnetization_mub_per_cell=0.0 spacegroup="No. 148" dft_energy_ev_per_atom=-5.93 dos_ef_per_ev_cell=2.2 e_form_raw_mev_per_atom=-1380 pbc="T T T"
O -9.071 -1.351 0.084
O -6.639 -2.578 -2.049
O -6.563 -1.708 1.188
O -4.823 0.697 -0.590
O -7.700 0.810 1.127
O -8.475 0.991 -2.239
Hg -6.661 -0.303 -1.593
Hg -4.725 -0.709 2.192
Tc -3.144 -0.077 -1.197
Nd -10.249 -0.557 -1.837

=====

8
Lattice="4.034 0.000 0.000 0.000 4.034 0.000 0.000 0.000 13.205" Properties=species:S:1:pos:R:3 comment="NdHgTeO | Alexandria | PBE | relaxed" total_magnetization_mub_per_cell=0.0 spacegroup="No. 129" dft_energy_ev_per_atom=-4.96 dos_ef_per_ev_cell=5.0 e_form_raw_mev_per_atom=-1664 pbc="T T T"
Te 1.009 1.009 9.885
Te 3.026 3.026 3.320
Hg 3.026 1.009 6.603
Hg 1.009 3.026 6.603
Nd 3.026 3.026 12.019
Nd 1.009 1.009 1.186
O 3.026 1.009 0.000
O 1.009 3.026 0.000

=====

10
Lattice="5.856 0.000 0.000 2.928 5.072 0.000 2.928 1.691 5.033" Properties=species:S:1:pos:R:3 comment="NdHg2TeO6 | Alexandria | PBE | relaxed" total_magnetization_mub_per_cell=0.0 spacegroup="No. 148" dft_energy_ev_per_atom=-5.10 dos_ef_per_ev_cell=2.0 e_form_raw_mev_per_atom=-1272 pbc="T T T"
O 6.475 1.867 4.139
O 4.854 5.469 1.411
O 4.235 3.603 4.140
O 6.859 4.675 4.140
O 8.166 3.206 1.412
O 4.550 1.469 1.411
Hg 2.928 1.691 4.088
Hg 5.857 3.381 1.466
Te 2.928 1.691 0.259
Nd 8.785 5.072 2.776

=====

10
Lattice="5.322 0.000 0.000 0.000 5.421 0.000 0.000 0.000 5.421" Properties=species:S:1:pos:R:3 comment="Nd2TiHgO6 | Alexandria | PBE | relaxed" total_magnetization_mub_per_cell=0.0 spacegroup="No. 99" dft_energy_ev_per_atom=-7.28 dos_ef_per_ev_cell=0.0 e_form_raw_mev_per_atom=-2533 pbc="T T T"
O 3.952 1.261 4.159
O 0.644 2.710 2.710
O 3.952 4.159 1.261
O 1.360 0.000 0.000
O 3.952 4.159 4.159
O 3.952 1.261 1.261
Hg 2.745 2.710 2.710
Nd 5.273 0.000 2.710
Nd 5.273 2.710 0.000
Ti 3.201 0.000 0.000

=====

14
Lattice="6.860 0.000 0.000 0.000 6.877 0.000 -3.430 0.000 8.251" Properties=species:S:1:pos:R:3 comment="Nd4TlHgO | Alexandria | PBE | relaxed" total_magnetization_mub_per_cell=0.0 spacegroup="No. 63" dft_energy_ev_per_atom=-4.83 dos_ef_per_ev_cell=9.3 e_form_raw_mev_per_atom=-1011 pbc="T T T"
Tl 3.430 5.158 6.416
Tl 0.000 1.719 1.834
O 0.000 5.158 4.064
O 3.430 1.719 4.186
Nd 3.430 1.719 6.938
Nd -1.715 3.438 4.125
Nd 0.000 5.158 1.312
Nd 3.430 1.719 1.168
Nd -1.715 0.000 4.125
Nd 1.715 3.438 4.125
Nd 0.000 5.158 7.083
Nd 1.715 0.000 4.125
Hg 3.430 5.158 1.924
Hg 0.000 1.719 6.326